1.
Material: CsInSnCl6
Method: DFT, PBE-GGA
State: relaxed

Output
Spin magnetization ... 0.00 μB/cell
DOS at the Fermi energy ... 0.000 states/eV per atom
Space group ... P312
E_form (uncorrected) ... -1.3046 eV/atom
Energy ... -30.42 eV per cell

Cell: 7.1977 7.1977 7.5513 Å, 90.00 90.00 120.00°
Positions (direct):
Cs 0.0000 0.0000 0.0000
In 0.6667 0.3333 0.5000
Sn 0.3333 0.6667 0.5000
Cl 0.3906 0.0323 0.6984
Cl 0.3906 0.3583 0.3016
Cl 0.6417 0.0323 0.3016
Cl 0.6417 0.6094 0.6984
Cl 0.9677 0.3583 0.6984
Cl 0.9677 0.6094 0.3016

2.
Material: CsIn2SnCl5
Method: DFT, PBE-GGA
State: relaxed

Output
Spin magnetization ... 0.00 μB/cell
DOS at the Fermi energy ... 0.000 states/eV per atom
Space group ... I4/mcm
E_form (uncorrected) ... -1.0984 eV/atom
Energy ... -58.90 eV per cell

Cell: 10.1808 10.1808 10.1808 Å, 129.17 129.17 74.74°
Positions (direct):
Cs 0.2500 0.2500 0.0000
Cs 0.7500 0.7500 0.0000
In 0.1781 0.6781 0.8562
In 0.3219 0.1781 0.5000
In 0.6781 0.8219 0.5000
In 0.8219 0.3219 0.1438
Sn 0.2500 0.7500 0.5000
Sn 0.7500 0.2500 0.5000
Cl 0.0000 0.0000 0.0000
Cl 0.0257 0.1842 0.5000
Cl 0.1842 0.6842 0.1585
Cl 0.3158 0.4743 0.5000
Cl 0.4743 0.9743 0.1585
Cl 0.5000 0.5000 0.0000
Cl 0.5257 0.0257 0.8415
Cl 0.6842 0.5257 0.5000
Cl 0.8158 0.3158 0.8415
Cl 0.9743 0.8158 0.5000

> E_form (uncorrected) of number 2 (CsIn2SnCl5)?

-1.0984 eV/atom